[1]
NaFe2Tc | PBE | optimized geometry

Results
crystal system	tetragonal
excess energy over the best structure of this formula in the dataset	0.976	eV/f.u.

Unit cell a=6.725 b=6.725 c=5.451 alpha=90.00 beta=90.00 gamma=90.00
Space group I-42d (No. 122)
Symmetry-distinct sites (fractional):
Na1 0.000 0.000 0.000 (multiplicity 4)
Fe1 0.200 0.250 0.625 (multiplicity 8)
Tc1 0.000 0.000 0.500 (multiplicity 4)

---

[2]
LaCrAs2Se | PBE | optimized geometry

Results
crystal system	tetragonal
excess energy over the best structure of this formula in the dataset	0.000	eV/f.u.
formation energy from raw total energies	-0.59	eV per atom

Unit cell a=4.643 b=4.643 c=5.277 alpha=90.00 beta=90.00 gamma=90.00
Space group P4/mmm (No. 123)
Symmetry-distinct sites (fractional):
La1 0.000 0.000 0.000 (multiplicity 1)
Cr1 0.500 0.500 0.500 (multiplicity 1)
As1 0.000 0.500 0.500 (multiplicity 2)
Se1 0.500 0.500 0.000 (multiplicity 1)

---

[3]
Th4Ga6Ru7 | PBE | optimized geometry

Results
crystal system	cubic

Unit cell a=8.547 b=8.547 c=8.547 alpha=90.00 beta=90.00 gamma=90.00
Space group Im-3m (No. 229)
Symmetry-distinct sites (fractional):
Th1 0.250 0.250 0.250 (multiplicity 8)
Ga1 0.000 0.000 0.317 (multiplicity 12)
Ru1 0.000 0.000 0.000 (multiplicity 2)
Ru2 0.000 0.250 0.500 (multiplicity 12)

---

[4]
LiBiSbOs2 | PBE | optimized geometry

Results
crystal system	tetragonal
formation energy from raw total energies	1.35	eV per atom

Unit cell a=4.570 b=4.570 c=4.351 alpha=90.00 beta=90.00 gamma=90.00
Space group P4/mmm (No. 123)
Symmetry-distinct sites (fractional):
Li1 0.000 0.000 0.000 (multiplicity 1)
Bi1 0.000 0.000 0.500 (multiplicity 1)
Sb1 0.500 0.500 0.500 (multiplicity 1)
Os1 0.000 0.500 0.000 (multiplicity 2)

---

[5]
Mg3Si4 | PBE | optimized geometry

Results
crystal system	triclinic
excess energy over the best structure of this formula in the dataset	0.362	eV/f.u.
formation energy from raw total energies	0.10	eV per atom

Unit cell a=7.039 b=8.190 c=10.583 alpha=87.63 beta=73.87 gamma=65.39
Space group P1 (No. 1)
Symmetry-distinct sites (fractional):
Mg1 0.000 0.000 0.000 (multiplicity 1)
Mg2 0.001 0.757 0.466 (multiplicity 1)
Mg3 0.012 0.820 0.747 (multiplicity 1)
Mg4 0.208 0.039 0.471 (multiplicity 1)
Mg5 0.371 0.375 0.640 (multiplicity 1)
Mg6 0.383 0.697 0.098 (multiplicity 1)
Mg7 0.412 0.082 0.186 (multiplicity 1)
Mg8 0.445 0.131 0.885 (multiplicity 1)
Mg9 0.554 0.745 0.775 (multiplicity 1)
Mg10 0.805 0.445 0.530 (multiplicity 1)
Mg11 0.877 0.744 0.200 (multiplicity 1)
Mg12 0.879 0.321 0.220 (multiplicity 1)
Si1 0.033 0.976 0.270 (multiplicity 1)
Si2 0.121 0.445 0.322 (multiplicity 1)
Si3 0.189 0.096 0.739 (multiplicity 1)
Si4 0.231 0.414 0.075 (multiplicity 1)
Si5 0.277 0.587 0.882 (multiplicity 1)
Si6 0.387 0.673 0.541 (multiplicity 1)
Si7 0.440 0.427 0.368 (multiplicity 1)
Si8 0.536 0.674 0.312 (multiplicity 1)
Si9 0.569 0.001 0.595 (multiplicity 1)
Si10 0.627 0.097 0.369 (multiplicity 1)
Si11 0.640 0.326 0.049 (multiplicity 1)
Si12 0.656 0.360 0.820 (multiplicity 1)
Si13 0.706 0.835 0.980 (multiplicity 1)
Si14 0.795 0.134 0.640 (multiplicity 1)
Si15 0.861 0.512 0.999 (multiplicity 1)
Si16 0.969 0.425 0.769 (multiplicity 1)

---

Table of N(E_F) (states/eV per cell), in record order: 6.7; 3.8; 32.4; 5.2; 6.1
Table of VASP energy (eV/atom), in record order: -6.062; -6.055; -7.181; -5.126; -3.678
Table of calculated volume (Å³/cell), in record order: 246.5; 113.7; 624.4; 90.9; 530.9